A plane-wave DFT calculation with PBE was carried out for Ho3Os5N12 after structural relaxation.

Unit cell a=10.9701 b=10.9701 c=10.9701 alpha=109.47 beta=109.47 gamma=109.47
With the nearest neighbours (Å) after each atom.
Atoms (fractional coordinates):
1 Ho 0.1250 0.2500 0.3750  8 N 2.42-2.59
2 Ho 0.1250 0.3750 0.7500  8 N 2.42-2.59
3 Ho 0.2500 0.3750 0.1250  8 N 2.42-2.59
4 Ho 0.2500 0.8750 0.6250  8 N 2.42-2.59
5 Ho 0.3750 0.1250 0.2500  8 N 2.42-2.59
6 Ho 0.3750 0.7500 0.1250  8 N 2.42-2.59
7 Ho 0.6250 0.2500 0.8750  8 N 2.42-2.59
8 Ho 0.6250 0.8750 0.7500  8 N 2.42-2.59
9 Ho 0.7500 0.1250 0.3750  8 N 2.42-2.59
10 Ho 0.7500 0.6250 0.8750  8 N 2.42-2.59
11 Ho 0.8750 0.6250 0.2500  8 N 2.42-2.59
12 Ho 0.8750 0.7500 0.6250  8 N 2.42-2.59
13 Os 0.0000 0.0000 0.0000  6 N 2.03
14 Os 0.0000 0.0000 0.5000  6 N 2.03
15 Os 0.0000 0.5000 0.0000  6 N 2.03
16 Os 0.0000 0.5000 0.5000  6 N 2.03
17 Os 0.1250 0.7500 0.8750  4 N 1.85
18 Os 0.1250 0.8750 0.2500  4 N 1.85
19 Os 0.2500 0.1250 0.8750  4 N 1.85
20 Os 0.2500 0.6250 0.3750  4 N 1.85
21 Os 0.3750 0.2500 0.6250  4 N 1.85
22 Os 0.3750 0.6250 0.7500  4 N 1.85
23 Os 0.5000 0.0000 0.0000  6 N 2.03
24 Os 0.5000 0.0000 0.5000  6 N 2.03
25 Os 0.5000 0.5000 0.0000  6 N 2.03
26 Os 0.5000 0.5000 0.5000  6 N 2.03
27 Os 0.6250 0.3750 0.2500  4 N 1.85
28 Os 0.6250 0.7500 0.3750  4 N 1.85
29 Os 0.7500 0.3750 0.6250  4 N 1.85
30 Os 0.7500 0.8750 0.1250  4 N 1.85
31 Os 0.8750 0.1250 0.7500  4 N 1.85
32 Os 0.8750 0.2500 0.1250  4 N 1.85
33 N 0.0185 0.1986 0.1193  2 Os 1.85-2.03
34 N 0.0185 0.3199 0.8992  2 Os 1.85-2.03
35 N 0.0794 0.6986 0.6801  2 Os 1.85-2.03
36 N 0.0794 0.8807 0.3992  2 Os 1.85-2.03
37 N 0.1008 0.6193 0.4206  2 Os 1.85-2.03
38 N 0.1008 0.9815 0.6801  2 Os 1.85-2.03
39 N 0.1193 0.0185 0.1986  2 Os 1.85-2.03
40 N 0.1193 0.6008 0.9206  2 Os 1.85-2.03
41 N 0.1801 0.1986 0.5794  2 Os 1.85-2.03
42 N 0.1801 0.4815 0.6008  2 Os 1.85-2.03
43 N 0.1986 0.1193 0.0185  2 Os 1.85-2.03
44 N 0.1986 0.5794 0.1801  2 Os 1.85-2.03
45 N 0.3014 0.3199 0.9206  2 Os 1.85-2.03
46 N 0.3014 0.4815 0.3807  2 Os 1.85-2.03
47 N 0.3199 0.8992 0.0185  2 Os 1.85-2.03
48 N 0.3199 0.9206 0.3014  2 Os 1.85-2.03
49 N 0.3807 0.3014 0.4815  2 Os 1.85-2.03
50 N 0.3807 0.5794 0.8992  2 Os 1.85-2.03
51 N 0.3992 0.0794 0.8807  2 Os 1.85-2.03
52 N 0.3992 0.8199 0.5185  2 Os 1.85-2.03
53 N 0.4206 0.1008 0.6193  2 Os 1.85-2.03
54 N 0.4206 0.8199 0.8014  2 Os 1.85-2.03
55 N 0.4815 0.3807 0.3014  2 Os 1.85-2.03
56 N 0.4815 0.6008 0.1801  2 Os 1.85-2.03
57 N 0.5185 0.3992 0.8199  2 Os 1.85-2.03
58 N 0.5185 0.6193 0.6986  2 Os 1.85-2.03
59 N 0.5794 0.1801 0.1986  2 Os 1.85-2.03
60 N 0.5794 0.8992 0.3807  2 Os 1.85-2.03
61 N 0.6008 0.1801 0.4815  2 Os 1.85-2.03
62 N 0.6008 0.9206 0.1193  2 Os 1.85-2.03
63 N 0.6193 0.4206 0.1008  2 Os 1.85-2.03
64 N 0.6193 0.6986 0.5185  2 Os 1.85-2.03
65 N 0.6801 0.0794 0.6986  2 Os 1.85-2.03
66 N 0.6801 0.1008 0.9815  2 Os 1.85-2.03
67 N 0.6986 0.5185 0.6193  2 Os 1.85-2.03
68 N 0.6986 0.6801 0.0794  2 Os 1.85-2.03
69 N 0.8014 0.4206 0.8199  2 Os 1.85-2.03
70 N 0.8014 0.8807 0.9815  2 Os 1.85-2.03
71 N 0.8199 0.5185 0.3992  2 Os 1.85-2.03
72 N 0.8199 0.8014 0.4206  2 Os 1.85-2.03
73 N 0.8807 0.3992 0.0794  2 Os 1.85-2.03
74 N 0.8807 0.9815 0.8014  2 Os 1.85-2.03
75 N 0.8992 0.0185 0.3199  2 Os 1.85-2.03
76 N 0.8992 0.3807 0.5794  2 Os 1.85-2.03
77 N 0.9206 0.1193 0.6008  2 Os 1.85-2.03
78 N 0.9206 0.3014 0.3199  2 Os 1.85-2.03
79 N 0.9815 0.6801 0.1008  2 Os 1.85-2.03
80 N 0.9815 0.8014 0.8807  2 Os 1.85-2.03

volume	12.703	A^3/atom
formation energy from raw total energies	-202	meV per atom


A plane-wave DFT calculation with PBE was carried out for V2GaRh5 after structural relaxation.

Unit cell a=5.3700 b=10.5928 c=3.9127 alpha=90.00 beta=90.00 gamma=90.00
With the nearest neighbours (Å) after each atom.
Atoms (fractional coordinates):
1 V 0.1876 0.1394 0.0000  10 Rh 2.59-2.81
2 V 0.3124 0.6394 0.0000  10 Rh 2.59-2.81
3 V 0.6876 0.3606 0.0000  10 Rh 2.59-2.81
4 V 0.8124 0.8606 0.0000  10 Rh 2.59-2.81
5 Ga 0.0000 0.5000 0.5000  8 Rh 2.56-2.69
6 Ga 0.5000 0.0000 0.5000  8 Rh 2.56-2.69
7 Rh 0.0000 0.0000 0.5000  4 V 2.65, 2 Ga 2.69, 6 Rh 2.71-2.79
8 Rh 0.0548 0.7460 0.5000  1 Ga 2.62, 4 V 2.64-2.65, 7 Rh 2.69-2.78
9 Rh 0.2083 0.3846 0.0000  2 Ga 2.56, 4 V 2.59-2.81, 6 Rh 2.76-2.79
10 Rh 0.2917 0.8846 0.0000  2 Ga 2.56, 4 V 2.59-2.81, 6 Rh 2.76-2.79
11 Rh 0.4452 0.2460 0.5000  1 Ga 2.62, 4 V 2.64-2.65, 7 Rh 2.69-2.78
12 Rh 0.5000 0.5000 0.5000  4 V 2.65, 2 Ga 2.69, 6 Rh 2.71-2.79
13 Rh 0.5548 0.7540 0.5000  1 Ga 2.62, 4 V 2.64-2.65, 7 Rh 2.69-2.78
14 Rh 0.7083 0.1154 0.0000  2 Ga 2.56, 4 V 2.59-2.81, 6 Rh 2.76-2.79
15 Rh 0.7917 0.6154 0.0000  2 Ga 2.56, 4 V 2.59-2.81, 6 Rh 2.76-2.79
16 Rh 0.9452 0.2540 0.5000  1 Ga 2.62, 4 V 2.64-2.65, 7 Rh 2.69-2.78

formation energy	-0.464	eV per atom
volume	13.910	A^3/atom


A plane-wave DFT calculation with PBE was carried out for CoHg3Cl after structural relaxation.

Unit cell a=5.0927 b=5.0927 c=5.0927 alpha=90.00 beta=90.00 gamma=90.00
With the nearest neighbours (Å) after each atom.
Atoms (fractional coordinates):
1 Co 0.0000 0.0000 0.0000  6 Hg 2.55
2 Hg 0.0000 0.0000 0.5000  2 Co 2.55
3 Hg 0.0000 0.5000 0.0000  2 Co 2.55
4 Hg 0.5000 0.0000 0.0000  2 Co 2.55
5 Cl 0.5000 0.5000 0.5000  12 Hg 3.60

volume	26.416	A^3/atom
energy above the lowest structure with this stoichiometry	0	meV per atom
formation energy from raw total energies	204	meV per atom


A plane-wave DFT calculation with PBE was carried out for YCr2Pt after structural relaxation.

Unit cell a=5.1930 b=5.1930 c=5.1930 alpha=133.74 beta=130.08 gamma=70.41
With the nearest neighbours (Å) after each atom.
Atoms (fractional coordinates):
1 Y 0.0000 0.0000 0.0000  4 Pt 2.99, 8 Cr 3.00
2 Cr 0.2589 0.7589 0.5000  4 Pt 2.89-3.10, 4 Cr 3.00, 4 Y 3.00
3 Cr 0.7411 0.2411 0.5000  4 Pt 2.89-3.10, 4 Cr 3.00, 4 Y 3.00
4 Pt 0.5000 0.5000 0.0000  8 Cr 2.89-3.10, 4 Y 2.99

formation energy	0.121	eV per atom
volume	18.968	A^3/atom
energy above the lowest structure with this stoichiometry	224	meV per atom


A plane-wave DFT calculation with PBE was carried out for SrPr2IrO8 after structural relaxation.

Unit cell a=4.4842 b=5.2195 c=7.2610 alpha=90.16 beta=106.04 gamma=90.47
With the nearest neighbours (Å) after each atom.
Atoms (fractional coordinates):
1 Sr 0.0000 0.0000 0.0000  8 O 2.70-2.94
2 Pr 0.3812 0.4952 0.7128  6 O 2.33-2.59
3 Pr 0.6188 0.5048 0.2872  6 O 2.33-2.59
4 Ir 0.0000 0.0000 0.5000  6 O 1.89-1.99
5 O 0.1738 0.7172 0.3933  1 Ir 1.93
6 O 0.2077 0.2380 0.3821  1 Ir 1.89
7 O 0.2289 0.5017 0.9974  1 O 2.06
8 O 0.3373 0.0026 0.7441  1 Ir 1.99
9 O 0.6627 0.9974 0.2559  1 Ir 1.99
10 O 0.7711 0.4983 0.0026  1 O 2.06
11 O 0.7923 0.7620 0.6179  1 Ir 1.89
12 O 0.8262 0.2828 0.6067  1 Ir 1.93

volume	13.610	A^3/atom
formation energy from raw total energies	-2019	meV per atom


A plane-wave DFT calculation with PBE was carried out for SeI after structural relaxation.

Unit cell a=4.5541 b=4.5665 c=8.4208 alpha=97.69 beta=103.25 gamma=109.02
With the nearest neighbours (Å) after each atom.
Atoms (fractional coordinates):
1 Se 0.0000 0.0000 0.0000  1 Se 2.29
2 Se 0.1317 0.6858 0.8152  1 Se 2.29
3 I 0.6054 0.3250 0.5703  1 Se 2.64
4 I 0.8840 0.7191 0.2453  1 Se 2.64

volume	39.242	A^3/atom
formation energy from raw total energies	32	meV per atom


A plane-wave DFT calculation with PBE was carried out for Pm3Te2N after structural relaxation.

Unit cell a=7.6390 b=7.6390 c=7.7732 alpha=104.71 beta=104.71 gamma=46.55
With the nearest neighbours (Å) after each atom.
Atoms (fractional coordinates):
1 Pm 0.0410 0.9590 0.7500  1 N 2.56
2 Pm 0.3783 0.3787 0.4390  2 N 2.55
3 Pm 0.3787 0.3783 0.9390  2 N 2.55
4 Pm 0.6213 0.6217 0.0610  2 N 2.55
5 Pm 0.6217 0.6213 0.5609  2 N 2.55
6 Pm 0.9590 0.0410 0.2500  1 N 2.56
7 Te 0.1813 0.1815 0.0907  6 Pm 3.12-3.29
8 Te 0.1815 0.1813 0.5907  6 Pm 3.12-3.29
9 Te 0.8185 0.8187 0.4093  6 Pm 3.12-3.29
10 Te 0.8187 0.8185 0.9093  6 Pm 3.12-3.29
11 N 0.4649 0.5351 0.7500  5 Pm 2.55-2.56
12 N 0.5351 0.4649 0.2500  5 Pm 2.55-2.56

volume	26.372	A^3/atom
formation energy from raw total energies	-1288	meV per atom


A plane-wave DFT calculation with PBE was carried out for Nd3ThSe6 after structural relaxation.

Unit cell a=7.6926 b=7.6926 c=7.2239 alpha=117.41 beta=117.41 gamma=63.72
With the nearest neighbours (Å) after each atom.
Atoms (fractional coordinates):
1 Nd 0.0000 0.0000 0.0000  6 Se 2.89-3.05
2 Nd 0.2492 0.2492 0.8199  5 Se 2.91-3.00
3 Nd 0.7508 0.7508 0.1801  5 Se 2.91-3.00
4 Th 0.5000 0.5000 0.5000  6 Se 2.87-2.95
5 Se 0.1648 0.6594 0.1628  1 Th 2.87, 3 Nd 2.89-3.00
6 Se 0.2533 0.2533 0.4207  2 Nd 2.91-3.05, 1 Th 2.95
7 Se 0.3406 0.8352 0.8372  1 Th 2.87, 3 Nd 2.89-3.00
8 Se 0.6594 0.1648 0.1628  1 Th 2.87, 3 Nd 2.89-3.00
9 Se 0.7467 0.7467 0.5793  2 Nd 2.91-3.05, 1 Th 2.95
10 Se 0.8352 0.3406 0.8372  1 Th 2.87, 3 Nd 2.89-3.00

volume	32.212	A^3/atom
energy above the lowest structure with this stoichiometry	174	meV per atom
formation energy from raw total energies	-1653	meV per atom


A plane-wave DFT calculation with PBE was carried out for Pr7Nd12Th after structural relaxation.

Unit cell a=10.1351 b=10.1351 c=10.1351 alpha=109.47 beta=109.47 gamma=109.47
With the nearest neighbours (Å) after each atom.
Atoms (fractional coordinates):
1 Pr 0.0000 0.0000 0.5000  6 Nd 2.93
2 Pr 0.0000 0.5000 0.0000  6 Nd 2.93
3 Pr 0.0000 0.5000 0.5000  12 Nd 4.14-4.36
4 Pr 0.5000 0.0000 0.0000  6 Nd 2.93
5 Pr 0.5000 0.0000 0.5000  12 Nd 4.14-4.36
6 Pr 0.5000 0.5000 0.0000  12 Nd 4.14-4.36
7 Pr 0.5000 0.5000 0.5000  6 Nd 2.93
8 Nd 0.0000 0.2363 0.7637  2 Pr 2.93
9 Nd 0.0000 0.7637 0.2363  2 Pr 2.93
10 Nd 0.2363 0.0000 0.7637  2 Pr 2.93
11 Nd 0.2363 0.2363 0.4727  2 Pr 2.93
12 Nd 0.2363 0.4727 0.2363  2 Pr 2.93
13 Nd 0.2363 0.7637 0.0000  2 Pr 2.93
14 Nd 0.4727 0.2363 0.2363  2 Pr 2.93
15 Nd 0.5273 0.7637 0.7637  2 Pr 2.93
16 Nd 0.7637 0.0000 0.2363  2 Pr 2.93
17 Nd 0.7637 0.2363 0.0000  2 Pr 2.93
18 Nd 0.7637 0.5273 0.7637  2 Pr 2.93
19 Nd 0.7637 0.7637 0.5273  2 Pr 2.93
20 Th 0.0000 0.0000 0.0000  12 Nd 3.91

formation energy	0.622	eV per atom
volume	40.071	A^3/atom
energy above the lowest structure with this stoichiometry	406	meV per atom


A plane-wave DFT calculation with PBE was carried out for Mo5RuRh4 after structural relaxation.

Unit cell a=2.7529 b=2.7529 c=19.6183 alpha=90.00 beta=90.00 gamma=90.00
With the nearest neighbours (Å) after each atom.
Atoms (fractional coordinates):
1 Mo 0.0000 0.0000 0.0000  4 Mo 2.75, 8 Rh 2.77
2 Mo 0.0000 0.0000 0.2006  4 Mo 2.75, 8 Rh 2.75-2.77
3 Mo 0.0000 0.0000 0.4016  4 Ru 2.74, 4 Mo 2.75, 4 Rh 2.79
4 Mo 0.0000 0.0000 0.5984  4 Ru 2.74, 4 Mo 2.75, 4 Rh 2.79
5 Mo 0.0000 0.0000 0.7994  4 Mo 2.75, 8 Rh 2.75-2.77
6 Ru 0.5000 0.5000 0.5000  8 Mo 2.74, 4 Ru 2.75
7 Rh 0.5000 0.5000 0.1001  4 Rh 2.75, 8 Mo 2.77
8 Rh 0.5000 0.5000 0.2999  4 Rh 2.75, 8 Mo 2.75-2.79
9 Rh 0.5000 0.5000 0.7001  4 Rh 2.75, 8 Mo 2.75-2.79
10 Rh 0.5000 0.5000 0.8999  4 Rh 2.75, 8 Mo 2.77

formation energy	-0.134	eV per atom
volume	14.868	A^3/atom


A plane-wave DFT calculation with PBE was carried out for TlMo3Pt after structural relaxation.

Unit cell a=4.8288 b=4.8288 c=4.8288 alpha=90.00 beta=90.00 gamma=90.00
With the nearest neighbours (Å) after each atom.
Atoms (fractional coordinates):
1 Tl 0.0000 0.0000 0.0000  12 Mo 3.41
2 Mo 0.0000 0.5000 0.5000  2 Pt 2.41
3 Mo 0.5000 0.0000 0.5000  2 Pt 2.41
4 Mo 0.5000 0.5000 0.0000  2 Pt 2.41
5 Pt 0.5000 0.5000 0.5000  6 Mo 2.41

formation energy	1.639	eV per atom
volume	22.519	A^3/atom
energy above the lowest structure with this stoichiometry	0	meV per atom